## YHfFe2O6 (PBE+U)

Data for an optimized crystal structure of YHfFe2O6.

Cell and atoms, written as POSCAR:
```
YHfFe2O6
1.0
5.445 0.000 0.000
-2.716 4.736 0.000
-2.680 -1.579 4.773
Y Hf Fe O
1 1 2 6
Direct
0.000 0.000 0.000
0.993 0.496 0.488
0.566 0.785 0.348
0.575 0.288 0.861
0.070 0.411 0.171
0.115 0.215 0.673
0.461 0.900 0.667
0.512 0.103 0.175
0.765 0.666 0.178
0.770 0.560 0.671
```

Total magnetic moment, μB/atom: 0.900
Energy, eV per atom: -8.300
Mass density, g/cm3: 6.41